(1)
Here is a PBEsol-optimized structure of LuGa2Ni from Alexandria via LeMat-Bulk. Energies are from SCAN.

Computed properties:
Total DFT energy (no corrections), eV per atom: -26.806
Calculated volume, Å³ per cell: 127.2
Energy relative to the elements, eV/atom: -0.7532
Symmetry: Cmcm

a b c (Å): 5.2368 5.2368 6.5102
angles (deg): 90.00 90.00 134.56
Last column: nearest neighbours and their distance in Å.
Positions (direct):
Lu 0.0745 0.9255 0.7500  3 Ni 2.74-2.91, 6 Ga 2.89-3.05
Lu 0.9255 0.0745 0.2500  3 Ni 2.74-2.91, 6 Ga 2.89-3.05
Ga 0.3603 0.6397 0.5527  3 Ni 2.45-2.49, 1 Ga 2.57
Ga 0.3603 0.6397 0.9473  3 Ni 2.45-2.49, 1 Ga 2.57
Ga 0.6397 0.3603 0.0527  3 Ni 2.45-2.49, 1 Ga 2.57
Ga 0.6397 0.3603 0.4473  3 Ni 2.45-2.49, 1 Ga 2.57
Ni 0.2087 0.7913 0.2500  6 Ga 2.45-2.49, 1 Lu 2.74
Ni 0.7913 0.2087 0.7500  6 Ga 2.45-2.49, 1 Lu 2.74

=====

(2)
Here is a PBEsol-optimized structure of ZrCrRe2 from Alexandria via LeMat-Bulk. Energies are from SCAN.

Computed properties:
Total DFT energy (no corrections), eV per atom: -47.892
Calculated volume, Å³ per cell: 60.6
Energy relative to the elements, eV/atom: -0.0727
Symmetry: P4/mmm

a b c (Å): 3.0712 3.0712 6.4280
angles (deg): 90.00 90.00 90.00
Last column: nearest neighbours and their distance in Å.
Positions (direct):
Zr 0.0000 0.0000 0.0000  8 Re 2.81, 4 Zr 3.07
Cr 0.0000 0.0000 0.5000  8 Re 2.60
Re 0.5000 0.5000 0.2784  4 Cr 2.60, 4 Zr 2.81, 1 Re 2.85
Re 0.5000 0.5000 0.7216  4 Cr 2.60, 4 Zr 2.81, 1 Re 2.85

=====

(3)
Here is a PBEsol-optimized structure of HfTiI2 from Alexandria via LeMat-Bulk. Energies are from SCAN.

Computed properties:
Total DFT energy (no corrections), eV per atom: -37.802
Calculated volume, Å³ per cell: 83.2
Uncorrected formation energy, eV per atom: 0.24
Symmetry: Fm-3m

a b c (Å): 4.9000 4.9000 4.9000
angles (deg): 60.00 60.00 60.00
Last column: nearest neighbours and their distance in Å.
Positions (direct):
Hf 0.0000 0.0000 0.0000  8 I 3.00
Ti 0.5000 0.5000 0.5000  8 I 3.00
I 0.2500 0.2500 0.2500  4 Hf 3.00, 4 Ti 3.00
I 0.7500 0.7500 0.7500  4 Hf 3.00, 4 Ti 3.00

=====

(4)
Here is a PBEsol-optimized structure of Li4MnCrO6 from Alexandria via LeMat-Bulk. Energies are from SCAN.

Computed properties:
Total DFT energy (no corrections), eV per atom: -9.291
Calculated volume, Å³ per cell: 98.2
Uncorrected formation energy, eV per atom: -2.33
Symmetry: C2

a b c (Å): 4.9096 4.9096 4.9848
angles (deg): 99.68 99.68 119.85
Last column: nearest neighbours and their distance in Å.
Positions (direct):
Li 0.0000 0.0000 0.0000  6 O 2.02-2.14
Li 0.3376 0.6624 0.0000  6 O 2.00-2.14
Li 0.6793 0.3207 0.0000  6 O 2.03-2.16
Li 0.8398 0.1602 0.5000  6 O 2.04-2.06
Mn 0.1721 0.8279 0.5000  6 O 1.89-1.91
Cr 0.5070 0.4930 0.5000  6 O 1.90-1.92
O 0.1188 0.4419 0.2717  1 Mn 1.91, 1 Cr 1.92, 4 Li 2.00-2.09
O 0.2714 0.2346 0.7257  1 Mn 1.89, 1 Cr 1.92, 2 Li 2.03-2.04
O 0.4051 0.0831 0.2755  1 Cr 1.90, 1 Mn 1.90, 3 Li 2.02-2.12
O 0.5581 0.8812 0.7283  1 Mn 1.91, 1 Cr 1.92, 4 Li 2.00-2.09
O 0.7654 0.7286 0.2743  1 Mn 1.89, 1 Cr 1.92, 2 Li 2.03-2.04
O 0.9169 0.5949 0.7245  1 Cr 1.90, 1 Mn 1.90, 3 Li 2.02-2.12

=====

(5)
Here is a PBEsol-optimized structure of TaMo2ICl from Alexandria via LeMat-Bulk. Energies are from SCAN.

Computed properties:
Total DFT energy (no corrections), eV per atom: -33.765
Calculated volume, Å³ per cell: 119.5
Uncorrected formation energy, eV per atom: 2.45
Symmetry: P4/mmm

a b c (Å): 4.8655 4.8655 5.0460
angles (deg): 90.00 90.00 90.00
Last column: nearest neighbours and their distance in Å.
Positions (direct):
Ta 0.0000 0.0000 0.0000  2 I 2.52
Mo 0.0000 0.5000 0.5000  2 I 2.43
Mo 0.5000 0.0000 0.5000  2 I 2.43
I 0.0000 0.0000 0.5000  4 Mo 2.43, 2 Ta 2.52
Cl 0.5000 0.5000 0.0000  4 Ta 3.44, 8 Mo 3.50

=====

(6)
Here is a PBEsol-optimized structure of Sr4GaN3O from Alexandria via LeMat-Bulk. Energies are from SCAN.

Computed properties:
Total DFT energy (no corrections), eV per atom: -16.747
Calculated volume, Å³ per cell: 1253.5
Uncorrected formation energy, eV per atom: -1.24
Symmetry: Pbca

a b c (Å): 7.2630 23.5446 7.3302
angles (deg): 90.00 90.00 90.00
Last column: nearest neighbours and their distance in Å.
Positions (direct):
Sr 0.0340 0.2415 0.2414  5 N 2.54-2.84
Sr 0.0340 0.2585 0.7414  5 N 2.54-2.84
Sr 0.0394 0.5635 0.1415  2 N 2.47-2.61, 2 O 2.59-2.71
Sr 0.0394 0.9365 0.6415  2 N 2.47-2.61, 2 O 2.59-2.71
Sr 0.1182 0.0572 0.8505  3 N 2.53-2.80, 2 O 2.56-2.63
Sr 0.1182 0.4428 0.3505  3 N 2.53-2.80, 2 O 2.56-2.63
Sr 0.2134 0.6447 0.5189  2 N 2.47-2.67
Sr 0.2134 0.8553 0.0189  2 N 2.47-2.67
Sr 0.2866 0.1447 0.5189  2 N 2.47-2.67
Sr 0.2866 0.3553 0.0189  2 N 2.47-2.67
Sr 0.3818 0.5572 0.8505  3 N 2.53-2.80, 2 O 2.56-2.63
Sr 0.3818 0.9428 0.3505  3 N 2.53-2.80, 2 O 2.56-2.63
Sr 0.4606 0.0635 0.1415  2 N 2.47-2.61, 2 O 2.59-2.71
Sr 0.4606 0.4365 0.6415  2 N 2.47-2.61, 2 O 2.59-2.71
Sr 0.4660 0.7415 0.2414  5 N 2.54-2.84
Sr 0.4660 0.7585 0.7414  5 N 2.54-2.84
Sr 0.5340 0.2415 0.2586  5 N 2.54-2.84
Sr 0.5340 0.2585 0.7586  5 N 2.54-2.84
Sr 0.5394 0.5635 0.3585  2 N 2.47-2.61, 2 O 2.59-2.71
Sr 0.5394 0.9365 0.8585  2 N 2.47-2.61, 2 O 2.59-2.71
Sr 0.6182 0.0572 0.6495  3 N 2.53-2.80, 2 O 2.56-2.63
Sr 0.6182 0.4428 0.1495  3 N 2.53-2.80, 2 O 2.56-2.63
Sr 0.7134 0.6447 0.9811  2 N 2.47-2.67
Sr 0.7134 0.8553 0.4811  2 N 2.47-2.67
Sr 0.7866 0.1447 0.9811  2 N 2.47-2.67
Sr 0.7866 0.3553 0.4811  2 N 2.47-2.67
Sr 0.8818 0.5572 0.6495  3 N 2.53-2.80, 2 O 2.56-2.63
Sr 0.8818 0.9428 0.1495  3 N 2.53-2.80, 2 O 2.56-2.63
Sr 0.9606 0.0635 0.3585  2 N 2.47-2.61, 2 O 2.59-2.71
Sr 0.9606 0.4365 0.8585  2 N 2.47-2.61, 2 O 2.59-2.71
Sr 0.9660 0.7415 0.2586  5 N 2.54-2.84
Sr 0.9660 0.7585 0.7586  5 N 2.54-2.84
Ga 0.2216 0.6711 0.9897  3 N 1.88-1.91
Ga 0.2216 0.8289 0.4897  3 N 1.88-1.91
Ga 0.2784 0.1711 0.9897  3 N 1.88-1.91
Ga 0.2784 0.3289 0.4897  3 N 1.88-1.91
Ga 0.7216 0.6711 0.5103  3 N 1.88-1.91
Ga 0.7216 0.8289 0.0103  3 N 1.88-1.91
Ga 0.7784 0.1711 0.5103  3 N 1.88-1.91
Ga 0.7784 0.3289 0.0103  3 N 1.88-1.91
N 0.0656 0.6250 0.8459  1 Ga 1.89
N 0.0656 0.8750 0.3459  1 Ga 1.89
N 0.1251 0.1279 0.1491  1 Ga 1.91
N 0.1251 0.3721 0.6491  1 Ga 1.91
N 0.2185 0.7493 0.4984  1 Ga 1.88
N 0.2185 0.7507 0.9984  1 Ga 1.88
N 0.2815 0.2493 0.4984  1 Ga 1.88
N 0.2815 0.2507 0.9984  1 Ga 1.88
N 0.3749 0.6279 0.1491  1 Ga 1.91
N 0.3749 0.8721 0.6491  1 Ga 1.91
N 0.4344 0.1250 0.8459  1 Ga 1.89
N 0.4344 0.3750 0.3459  1 Ga 1.89
N 0.5656 0.6250 0.6541  1 Ga 1.89
N 0.5656 0.8750 0.1541  1 Ga 1.89
N 0.6251 0.1279 0.3509  1 Ga 1.91
N 0.6251 0.3721 0.8509  1 Ga 1.91
N 0.7185 0.7493 0.0016  1 Ga 1.88
N 0.7185 0.7507 0.5016  1 Ga 1.88
N 0.7815 0.2493 0.0016  1 Ga 1.88
N 0.7815 0.2507 0.5016  1 Ga 1.88
N 0.8749 0.6279 0.3509  1 Ga 1.91
N 0.8749 0.8721 0.8509  1 Ga 1.91
N 0.9344 0.1250 0.6541  1 Ga 1.89
N 0.9344 0.3750 0.1541  1 Ga 1.89
O 0.2467 0.0258 0.5307  5 Sr 2.56-2.81
O 0.2467 0.4742 0.0307  5 Sr 2.56-2.81
O 0.2533 0.5258 0.5307  5 Sr 2.56-2.81
O 0.2533 0.9742 0.0307  5 Sr 2.56-2.81
O 0.7467 0.0258 0.9693  5 Sr 2.56-2.81
O 0.7467 0.4742 0.4693  5 Sr 2.56-2.81
O 0.7533 0.5258 0.9693  5 Sr 2.56-2.81
O 0.7533 0.9742 0.4693  5 Sr 2.56-2.81

=====

(7)
Here is a PBEsol-optimized structure of SiSe2Br from Alexandria via LeMat-Bulk. Energies are from SCAN.

Computed properties:
Total DFT energy (no corrections), eV per atom: -16.962
Calculated volume, Å³ per cell: 89.7
Uncorrected formation energy, eV per atom: 0.45
Symmetry: I4/mmm

a b c (Å): 4.8848 4.8848 4.8848
angles (deg): 108.77 108.77 110.88
Last column: nearest neighbours and their distance in Å.
Positions (direct):
Si 0.0000 0.0000 0.0000  2 Br 2.77, 4 Se 2.84
Se 0.0000 0.5000 0.5000  2 Se 2.77, 2 Br 2.84, 2 Si 2.84
Se 0.5000 0.0000 0.5000  2 Se 2.77, 2 Br 2.84, 2 Si 2.84
Br 0.5000 0.5000 0.0000  2 Si 2.77, 4 Se 2.84

=====

(8)
Here is a PBEsol-optimized structure of NaCuPO4 from Alexandria via LeMat-Bulk. Energies are from SCAN.

Computed properties:
Total DFT energy (no corrections), eV per atom: -9.860
Calculated volume, Å³ per cell: 307.4
Uncorrected formation energy, eV per atom: -2.04
Symmetry: P2_1/c

a b c (Å): 5.0286 8.8718 7.9564
angles (deg): 90.00 120.01 90.00
Last column: nearest neighbours and their distance in Å.
Positions (direct):
Na 0.1508 0.1430 0.1938  6 O 2.32-2.58
Na 0.1508 0.3570 0.6938  6 O 2.32-2.58
Na 0.8492 0.6430 0.3062  6 O 2.32-2.58
Na 0.8492 0.8570 0.8062  6 O 2.32-2.58
Cu 0.0000 0.0000 0.5000  4 O 1.95-1.96
Cu 0.0000 0.5000 0.0000  4 O 1.95-1.96
Cu 0.5000 0.0000 0.0000  4 O 1.91-1.99
Cu 0.5000 0.5000 0.5000  4 O 1.91-1.99
P 0.3514 0.6762 0.8037  4 O 1.54-1.57
P 0.3514 0.8238 0.3037  4 O 1.54-1.57
P 0.6486 0.1762 0.6963  4 O 1.54-1.57
P 0.6486 0.3238 0.1963  4 O 1.54-1.57
O 0.0784 0.6257 0.8283  1 P 1.55
O 0.0784 0.8743 0.3283  1 P 1.55
O 0.2907 0.6043 0.6097  1 P 1.55
O 0.2907 0.8957 0.1097  1 P 1.55
O 0.3280 0.1355 0.5273  1 P 1.54
O 0.3280 0.3645 0.0273  1 P 1.54
O 0.3435 0.6476 0.2834  1 P 1.57
O 0.3435 0.8524 0.7834  1 P 1.57
O 0.6565 0.1476 0.2166  1 P 1.57
O 0.6565 0.3524 0.7166  1 P 1.57
O 0.6720 0.6355 0.9727  1 P 1.54
O 0.6720 0.8645 0.4727  1 P 1.54
O 0.7093 0.1043 0.8903  1 P 1.55
O 0.7093 0.3957 0.3903  1 P 1.55
O 0.9216 0.1257 0.6717  1 P 1.55
O 0.9216 0.3743 0.1717  1 P 1.55

=====

(9)
Here is a PBEsol-optimized structure of ScIrRh2 from Alexandria via LeMat-Bulk. Energies are from SCAN.

Computed properties:
Total DFT energy (no corrections), eV per atom: -38.331
Calculated volume, Å³ per cell: 59.2
Energy relative to the elements, eV/atom: -0.1111
Symmetry: R-3m

a b c (Å): 8.9750 8.9750 8.9750
angles (deg): 17.83 17.83 17.83
Last column: nearest neighbours and their distance in Å.
Positions (direct):
Sc 0.0000 0.0000 0.0000  6 Rh 2.76, 6 Sc 2.78
Ir 0.5000 0.5000 0.5000  6 Rh 2.70, 6 Ir 2.78
Rh 0.2487 0.2487 0.2487  3 Ir 2.70, 3 Sc 2.76, 6 Rh 2.78
Rh 0.7513 0.7513 0.7513  3 Ir 2.70, 3 Sc 2.76, 6 Rh 2.78

=====

(10)
Here is a PBEsol-optimized structure of InAg2Pb from Alexandria via LeMat-Bulk. Energies are from SCAN.

Computed properties:
Total DFT energy (no corrections), eV per atom: -42.902
Calculated volume, Å³ per cell: 86.2
Energy relative to the elements, eV/atom: 0.0729
Symmetry: Pm

a b c (Å): 3.4343 4.6348 5.6827
angles (deg): 90.00 107.64 90.00
Last column: nearest neighbours and their distance in Å.
Positions (direct):
In 0.0000 0.0000 0.0000  7 Ag 2.97-2.99
Ag 0.2736 0.0000 0.5513  2 Ag 2.85, 3 In 2.97-2.99, 4 Pb 3.00-3.01
Ag 0.4291 0.5000 0.8593  2 Ag 2.85, 3 Pb 2.90-3.05, 4 In 2.98
Pb 0.6936 0.5000 0.3947  7 Ag 2.90-3.05

=====

(11)
Here is a PBEsol-optimized structure of Ta2AlPb from Alexandria via LeMat-Bulk. Energies are from SCAN.

Computed properties:
Total DFT energy (no corrections), eV per atom: -53.878
Calculated volume, Å³ per cell: 73.9
Energy relative to the elements, eV/atom: 0.2970
Symmetry: I4/mmm

a b c (Å): 5.2574 5.2574 5.2574
angles (deg): 134.01 134.01 67.08
Last column: nearest neighbours and their distance in Å.
Positions (direct):
Ta 0.2500 0.7500 0.5000  4 Ta 2.90, 4 Pb 3.00, 4 Al 3.00
Ta 0.7500 0.2500 0.5000  4 Ta 2.90, 4 Pb 3.00, 4 Al 3.00
Al 0.0000 0.0000 0.0000  4 Pb 2.90, 8 Ta 3.00
Pb 0.5000 0.5000 0.0000  4 Al 2.90, 8 Ta 3.00

=====

(12)
Here is a PBEsol-optimized structure of LuGa4Ni from Alexandria via LeMat-Bulk. Energies are from SCAN.

Computed properties:
Total DFT energy (no corrections), eV per atom: -23.390
Calculated volume, Å³ per cell: 192.5
Energy relative to the elements, eV/atom: -0.5733
Symmetry: Cmcm

a b c (Å): 7.6860 7.6860 6.4691
angles (deg): 90.00 90.00 149.76
Last column: nearest neighbours and their distance in Å.
Positions (direct):
Lu 0.1227 0.8773 0.7500  11 Ga 2.83-3.15, 2 Ni 3.03
Lu 0.8773 0.1227 0.2500  11 Ga 2.83-3.15, 2 Ni 3.03
Ga 0.0676 0.9324 0.2500  1 Ni 2.32
Ga 0.3163 0.6837 0.5503  3 Ni 2.37-2.46, 1 Ga 2.58
Ga 0.3163 0.6837 0.9497  3 Ni 2.37-2.46, 1 Ga 2.58
Ga 0.5000 0.5000 0.0000  6 Ga 2.75-2.76
Ga 0.5000 0.5000 0.5000  6 Ga 2.75-2.76
Ga 0.6837 0.3163 0.0503  3 Ni 2.37-2.46, 1 Ga 2.58
Ga 0.6837 0.3163 0.4497  3 Ni 2.37-2.46, 1 Ga 2.58
Ga 0.9324 0.0676 0.7500  1 Ni 2.32
Ni 0.2243 0.7757 0.2500  7 Ga 2.32-2.46
Ni 0.7757 0.2243 0.7500  7 Ga 2.32-2.46